1.
# Zr4UN4

Zr4UN4 after structural relaxation (PBE, the Alexandria database).

Cell: 4.6384 5.7325 5.7330 Å, 80.55 66.14 66.14°
Last column: nearest neighbours and their distance in Å.
Positions (direct):
U  0.0000  0.0000  0.0000  4 N 2.34
N  0.0987  0.6020  0.2006  5 Zr 2.27-2.36, 1 U 2.34
N  0.9013  0.3980  0.7994  5 Zr 2.27-2.36, 1 U 2.34
N  0.2994  0.7992  0.6021  5 Zr 2.27-2.36, 1 U 2.34
N  0.7006  0.2008  0.3979  5 Zr 2.27-2.36, 1 U 2.34
Zr  0.6021  0.5890  0.2068  5 N 2.27-2.36
Zr  0.1913  0.2064  0.4111  5 N 2.27-2.36
Zr  0.3979  0.4110  0.7932  5 N 2.27-2.36
Zr  0.8087  0.7936  0.5889  5 N 2.27-2.36

Values from the calculation:
The formation energy from raw total energies comes out at -1387 meV per atom. Its space group is No. 87. The total magnetic moment is 1.98 μB per cell.

=====

2.
# ZrUN2

ZrUN2 after structural relaxation (PBE, the Alexandria database).

Cell: 3.3371 3.3371 5.8537 Å, 73.44 73.44 60.00°
Last column: nearest neighbours and their distance in Å.
Positions (direct):
Zr  0.5000  0.5000  0.5000  6 N 2.34
N  0.7534  0.7534  0.7398  3 Zr 2.34, 3 U 2.40
N  0.2466  0.2466  0.2602  3 Zr 2.34, 3 U 2.40
U  0.0000  0.0000  0.0000  6 N 2.40

Values from the calculation:
The formation energy from raw total energies comes out at -1539 meV per atom. Its space group is No. 166. The total magnetic moment is 1.49 μB per cell.